VASP calculation (PBE-GGA) on a relaxed YMnSi crystal.

Summary:
The calculation puts the total magnetic moment at 18.1 μB per cell. The density of states at the Fermi level comes out at 0.638 states/eV per atom. The formation energy from raw total energies comes out at 0.56 eV per atom. The value obtained for the total energy is -77.50 eV per cell. For the calculated volume, the calculation gives 295 Å³/cell.

```
data_YMnSi
_space_group_name_H-M_alt 'F -4 3 m'
_space_group_IT_number 216
_space_group_name_Hall 'F -4 2 3'
_cell_length_a 6.653
_cell_length_b 6.653
_cell_length_c 6.653
_cell_angle_alpha 90.00
_cell_angle_beta 90.00
_cell_angle_gamma 90.00
loop_
_atom_site_label
_atom_site_type_symbol
_atom_site_fract_x
_atom_site_fract_y
_atom_site_fract_z
Y1 Y 0.000 0.000 0.000
Mn1 Mn 0.250 0.250 0.250
Si1 Si 0.250 0.250 0.750
```